No. 1
Entry from Alexandria via LeMat-Bulk: an optimized crystal structure of AlSe5 (PBE).

- SG: P4/mmm, No. 123
- E_form (uncorrected): 0.30 eV per atom
- Crystal system: tetragonal
- Relative energy among the computed polymorphs: 0.470 eV per atom

Lattice parameters (Å, degrees): 3.368 3.368 10.845 90.00 90.00 90.00
Atoms (fractional coordinates):
Al1 0.000 0.000 0.000
Se1 0.000 0.000 0.346
Se2 0.000 0.000 0.654
Se3 0.500 0.500 0.131
Se4 0.500 0.500 0.500
Se5 0.500 0.500 0.869

---

No. 2
Entry from Alexandria via LeMat-Bulk: an optimized crystal structure of TbZnGa2Au2 (PBE).

- SG: P-3m1, No. 164
- Crystal system: trigonal
- Energy relative to the elements: -0.487 eV per atom

Lattice parameters (Å, degrees): 4.473 4.473 6.616 90.00 90.00 120.00
Atoms (fractional coordinates):
Tb1 0.000 0.000 0.000
Zn1 0.000 0.000 0.500
Ga1 0.333 0.667 0.263
Ga2 0.667 0.333 0.737
Au1 0.333 0.667 0.709
Au2 0.667 0.333 0.291